Here is a geometry-optimized Sm3Ho2Tl7 structure from Alexandria. Energies are from GGA-PBE.

Geometry as POSCAR:
```
Sm3Ho2Tl7
1.0
5.527 0.000 0.000
0.000 5.322 0.000
0.000 -2.661 12.561
Tl Sm Ho
7 3 2
Direct
0.000 0.577 0.153 Tl
0.500 0.083 0.165 Tl
0.000 0.278 0.555 Tl
0.500 0.917 0.835 Tl
0.000 0.722 0.445 Tl
0.000 0.000 0.000 Tl
0.000 0.423 0.847 Tl
0.500 0.658 0.315 Sm
0.500 0.342 0.685 Sm
0.500 0.500 0.000 Sm
0.000 0.850 0.701 Ho
0.000 0.150 0.299 Ho
```

Summary:
The formation energy is -108 meV/atom. Its density is 9.940 g/cm³. Its total energy is -0.1261 hartree per atom.